## CoSn2Os (PBE-GGA)

Data for a relaxed structure of CoSn2Os.

Output
Spin magnetization   0.271 μB per atom
Energy relative to the lowest polymorph listed for this composition   0.0 meV/atom
Uncorrected energy   -6.276 eV per atom
DOS(E_F)   2.0 states/eV/f.u.
Formation energy   1.2 eV per formula unit

Cell: 4.5543 4.5543 4.5543 Å, 60.00 60.00 60.00°
Site moments in Bohr magnetons follow the coordinates.
Positions (direct):
Sn 0.2500 0.2500 0.2500  -0.02
Sn 0.7500 0.7500 0.7500  -0.02
Co 0.0000 0.0000 0.0000  0.93
Os 0.5000 0.5000 0.5000  0.26


## SrF3 (PBE-GGA)

Data for a relaxed structure of SrF3.

Output
Spin magnetization   0.259 μB per atom
Uncorrected energy   -4.711 eV per atom
Formation energy (no corrections)   -2.887 eV per atom

Cell: 4.1271 4.4618 6.5795 Å, 80.84 90.00 90.00°
Site moments in Bohr magnetons follow the coordinates.
Positions (direct):
Sr 0.2500 0.2101 0.7058  0.00
Sr 0.7500 0.7899 0.2942  0.00
F 0.2500 0.5154 0.1750  0.48
F 0.7500 0.9009 0.8918  0.44
F 0.7500 0.4846 0.8250  0.48
F 0.7500 0.2464 0.4720  0.04
F 0.2500 0.0991 0.1082  0.44
F 0.2500 0.7536 0.5280  0.04